[1]
A plane-wave DFT calculation with GGA-PBE was carried out for crystalline LiBe2Se at its relaxed geometry.

## Properties
As for the total energy: -12.58 eV/f.u.

Unit cell a=2.651 b=3.690 c=5.982 alpha=90.00 beta=90.00 gamma=90.00
Positions (direct):
Li (0.000, 0.000, 0.000)
Be (0.000, 0.000, 0.586)
Be (0.500, 0.500, 0.595)
Se (0.500, 0.500, 0.210)

=====

[2]
A plane-wave DFT calculation with GGA-PBE was carried out for crystalline YZr2As3 at its relaxed geometry.

## Properties
As for the formation enthalpy at 0 K: -1234 meV/atom.

Unit cell a=3.936 b=5.590 c=11.857 alpha=90.00 beta=90.00 gamma=90.00
Positions (direct):
Y (0.000, 0.000, 0.000)
Y (0.500, 0.500, 0.500)
Zr (0.000, 0.000, 0.338)
Zr (0.000, 0.000, 0.662)
Zr (0.500, 0.500, 0.162)
Zr (0.500, 0.500, 0.838)
As (0.000, 0.500, 0.000)
As (0.000, 0.500, 0.326)
As (0.000, 0.500, 0.674)
As (0.500, 0.000, 0.174)
As (0.500, 0.000, 0.500)
As (0.500, 0.000, 0.826)

=====

[3]
A plane-wave DFT calculation with GGA-PBE was carried out for crystalline Dy12Ho2Sc5 at its relaxed geometry.

## Properties
As for the formation enthalpy at 0 K: 150 meV/atom.

Unit cell a=9.069 b=9.069 c=8.266 alpha=90.59 beta=90.59 gamma=57.46
Positions (direct):
Dy (0.054, 0.054, 0.282)
Dy (0.103, 0.678, 0.383)
Dy (0.109, 0.519, 0.776)
Dy (0.322, 0.897, 0.617)
Dy (0.334, 0.334, 0.130)
Dy (0.481, 0.891, 0.224)
Dy (0.519, 0.109, 0.776)
Dy (0.666, 0.666, 0.870)
Dy (0.678, 0.103, 0.383)
Dy (0.891, 0.481, 0.224)
Dy (0.897, 0.322, 0.617)
Dy (0.946, 0.946, 0.718)
Ho (0.287, 0.713, 0.000)
Ho (0.713, 0.287, 0.000)
Sc (0.146, 0.146, 0.942)
Sc (0.252, 0.252, 0.454)
Sc (0.500, 0.500, 0.500)
Sc (0.748, 0.748, 0.546)
Sc (0.854, 0.854, 0.058)

=====

[4]
A plane-wave DFT calculation with GGA-PBE was carried out for crystalline YZr2Se at its relaxed geometry.

## Properties
As for the total energy: -29.48 eV/f.u.

Unit cell a=3.535 b=3.535 c=27.020 alpha=90.00 beta=90.00 gamma=120.00
Positions (direct):
Y (0.000, 0.000, 0.000)
Y (0.333, 0.667, 0.667)
Y (0.667, 0.333, 0.333)
Zr (0.000, 0.000, 0.522)
Zr (0.000, 0.000, 0.766)
Zr (0.333, 0.667, 0.189)
Zr (0.333, 0.667, 0.433)
Zr (0.667, 0.333, 0.099)
Zr (0.667, 0.333, 0.855)
Se (0.000, 0.000, 0.256)
Se (0.333, 0.667, 0.923)
Se (0.667, 0.333, 0.590)

=====

[5]
A plane-wave DFT calculation with GGA-PBE was carried out for crystalline ErTh6Co3 at its relaxed geometry.

## Properties
As for the formation enthalpy at 0 K: -103 meV/atom.

Unit cell a=8.519 b=8.519 c=7.134 alpha=90.00 beta=90.00 gamma=93.05
Positions (direct):
Er (0.242, 0.758, 0.500)
Er (0.758, 0.242, 0.000)
Th (0.025, 0.491, 0.796)
Th (0.179, 0.202, 0.058)
Th (0.189, 0.811, 0.020)
Th (0.202, 0.179, 0.558)
Th (0.471, 0.529, 0.885)
Th (0.491, 0.025, 0.296)
Th (0.509, 0.975, 0.796)
Th (0.529, 0.471, 0.385)
Th (0.798, 0.821, 0.058)
Th (0.811, 0.189, 0.520)
Th (0.821, 0.798, 0.558)
Th (0.975, 0.509, 0.296)
Co (0.041, 0.959, 0.297)
Co (0.257, 0.513, 0.183)
Co (0.487, 0.743, 0.183)
Co (0.513, 0.257, 0.683)
Co (0.743, 0.487, 0.683)
Co (0.959, 0.041, 0.797)

=====

[6]
A plane-wave DFT calculation with GGA-PBE was carried out for crystalline SmLu2Ta at its relaxed geometry.

## Properties
As for the formation enthalpy at 0 K: 585 meV/atom.

Unit cell a=3.242 b=3.242 c=34.968 alpha=90.00 beta=90.00 gamma=120.00
Positions (direct):
Sm (0.000, 0.000, 0.000)
Sm (0.333, 0.667, 0.667)
Sm (0.667, 0.333, 0.333)
Lu (0.000, 0.000, 0.417)
Lu (0.000, 0.000, 0.583)
Lu (0.333, 0.667, 0.083)
Lu (0.333, 0.667, 0.250)
Lu (0.667, 0.333, 0.750)
Lu (0.667, 0.333, 0.917)
Ta (0.000, 0.000, 0.500)
Ta (0.333, 0.667, 0.167)
Ta (0.667, 0.333, 0.833)

=====

[7]
A plane-wave DFT calculation with GGA-PBE was carried out for crystalline TiV4P2 at its relaxed geometry.

## Properties
As for the formation enthalpy at 0 K: -674 meV/atom.

Unit cell a=7.763 b=7.763 c=3.188 alpha=90.00 beta=90.00 gamma=90.00
Positions (direct):
Ti (0.000, 0.000, 0.000)
Ti (0.500, 0.500, 0.500)
V (0.087, 0.331, 0.500)
V (0.169, 0.587, 0.000)
V (0.331, 0.087, 0.500)
V (0.413, 0.831, 0.000)
V (0.587, 0.169, 0.000)
V (0.669, 0.913, 0.500)
V (0.831, 0.413, 0.000)
V (0.913, 0.669, 0.500)
P (0.186, 0.814, 0.500)
P (0.314, 0.314, 0.000)
P (0.686, 0.686, 0.000)
P (0.814, 0.186, 0.500)

=====

[8]
A plane-wave DFT calculation with GGA-PBE was carried out for crystalline Ho5ErSc3 at its relaxed geometry.

## Properties
As for the formation enthalpy at 0 K: 483 meV/atom.

Unit cell a=9.134 b=9.134 c=9.506 alpha=120.46 beta=120.46 gamma=74.73
Positions (direct):
Ho (0.108, 0.613, 0.259)
Ho (0.221, 0.221, 0.234)
Ho (0.244, 0.756, 0.000)
Ho (0.283, 0.283, 0.969)
Ho (0.387, 0.892, 0.741)
Ho (0.613, 0.108, 0.259)
Ho (0.717, 0.717, 0.031)
Ho (0.756, 0.244, 0.000)
Ho (0.779, 0.779, 0.766)
Ho (0.892, 0.387, 0.741)
Er (0.246, 0.246, 0.598)
Er (0.754, 0.754, 0.402)
Sc (0.000, 0.000, 0.500)
Sc (0.013, 0.013, 0.820)
Sc (0.478, 0.478, 0.634)
Sc (0.500, 0.500, 0.000)
Sc (0.522, 0.522, 0.366)
Sc (0.987, 0.987, 0.180)

=====

[9]
A plane-wave DFT calculation with GGA-PBE was carried out for crystalline HoZnPb at its relaxed geometry.

## Properties
As for the formation enthalpy at 0 K: -294 meV/atom.

Unit cell a=4.317 b=16.347 c=4.248 alpha=90.00 beta=90.00 gamma=90.00
Positions (direct):
Ho (0.000, 0.091, 0.250)
Ho (0.000, 0.909, 0.750)
Ho (0.500, 0.409, 0.750)
Ho (0.500, 0.591, 0.250)
Zn (0.000, 0.458, 0.250)
Zn (0.000, 0.542, 0.750)
Zn (0.500, 0.042, 0.750)
Zn (0.500, 0.958, 0.250)
Pb (0.000, 0.289, 0.250)
Pb (0.000, 0.711, 0.750)
Pb (0.500, 0.211, 0.750)
Pb (0.500, 0.789, 0.250)

=====

[10]
A plane-wave DFT calculation with GGA-PBE was carried out for crystalline K3TmGa2O6 at its relaxed geometry.

## Properties
As for the total energy: -67.74 eV/f.u.

Unit cell a=6.090 b=6.090 c=7.094 alpha=90.00 beta=90.00 gamma=120.00
Positions (direct):
K (0.000, 0.000, 0.000)
K (0.333, 0.667, 0.749)
K (0.667, 0.333, 0.251)
Tm (0.000, 0.000, 0.500)
Ga (0.333, 0.667, 0.299)
Ga (0.667, 0.333, 0.701)
O (0.164, 0.329, 0.298)
O (0.164, 0.836, 0.298)
O (0.329, 0.164, 0.702)
O (0.671, 0.836, 0.298)
O (0.836, 0.164, 0.702)
O (0.836, 0.671, 0.702)

=====

[11]
A plane-wave DFT calculation with GGA-PBE was carried out for crystalline Ta2ZnOsAu at its relaxed geometry.

## Properties
As for the formation enthalpy at 0 K: 1378 meV/atom.

Unit cell a=4.620 b=4.620 c=4.489 alpha=90.00 beta=90.00 gamma=90.00
Positions (direct):
Ta (0.000, 0.500, 0.000)
Ta (0.500, 0.000, 0.000)
Zn (0.000, 0.000, 0.000)
Os (0.000, 0.000, 0.500)
Au (0.500, 0.500, 0.500)

=====

[12]
A plane-wave DFT calculation with GGA-PBE was carried out for crystalline AcPm6Sm2Dy3 at its relaxed geometry.

## Properties
As for the formation enthalpy at 0 K: 26 meV/atom.

Unit cell a=6.325 b=6.325 c=12.083 alpha=95.01 beta=95.01 gamma=120.00
Positions (direct):
Ac (0.000, 0.000, 0.000)
Pm (0.086, 0.421, 0.256)
Pm (0.250, 0.250, 0.744)
Pm (0.421, 0.086, 0.256)
Pm (0.579, 0.914, 0.744)
Pm (0.750, 0.750, 0.256)
Pm (0.914, 0.579, 0.744)
Sm (0.333, 0.667, 0.000)
Sm (0.667, 0.333, 0.000)
Dy (0.167, 0.833, 0.500)
Dy (0.500, 0.500, 0.500)
Dy (0.833, 0.167, 0.500)

=====

Record-wise calculated density values, in g cm⁻³: 2.949; 6.315; 7.256; 5.969; 11.153; 10.662; 5.421; 6.351; 9.696; 3.801; 14.117; 7.595